Entry 1:
# BaLa2Pd9

BaLa2Pd9 after structural relaxation (PBE, Alexandria via LeMat-Bulk).

ΔE_f ... -0.65 eV/atom
Space-group type ... R-3m

Lattice parameters (Å, degrees): 5.541 5.541 9.622 73.27 73.27 60.00
Sites, in units of the cell vectors:
Pd (0.500, 0.500, 0.500)
Pd (0.413, 0.413, 0.257)
Ba (0.000, 0.000, 0.000)
Pd (0.587, 0.587, 0.743)
Pd (0.082, 0.587, 0.743)
Pd (0.667, 0.667, 0.999)
Pd (0.918, 0.413, 0.257)
La (0.862, 0.862, 0.413)
Pd (0.587, 0.082, 0.743)
Pd (0.333, 0.333, 0.001)
La (0.138, 0.138, 0.587)
Pd (0.413, 0.918, 0.257)

Entry 2:
# BaLaPd

BaLaPd after structural relaxation (PBE, Alexandria via LeMat-Bulk).

ΔE_f ... -0.39 eV/atom
Excess energy over the best structure of this formula in the dataset ... 0.142 eV per formula unit
Space-group type ... P3m1

Lattice parameters (Å, degrees): 7.225 4.417 4.417 120.00 90.00 90.00
Sites, in units of the cell vectors:
Pd (0.028, 0.000, 0.000)
Ba (0.751, 0.667, 0.333)
La (0.221, 0.333, 0.667)

Entry 3:
# BaLaPd

BaLaPd after structural relaxation (PBE, Alexandria via LeMat-Bulk).

ΔE_f ... -0.41 eV/atom
Excess energy over the best structure of this formula in the dataset ... 0.102 eV per formula unit
Space-group type ... I4mm

Lattice parameters (Å, degrees): 3.842 3.842 7.599 104.64 104.64 90.00
Sites, in units of the cell vectors:
La (0.283, 0.283, 0.566)
Pd (0.688, 0.688, 0.375)
Ba (0.029, 0.029, 0.059)

Entry 4:
# BaLaPd2

BaLaPd2 after structural relaxation (PBE, Alexandria via LeMat-Bulk).

ΔE_f ... -0.60 eV/atom
Excess energy over the best structure of this formula in the dataset ... 0.298 eV per formula unit
Space-group type ... R-3m

Lattice parameters (Å, degrees): 4.402 4.402 7.796 73.60 73.60 60.00
Sites, in units of the cell vectors:
Ba (0.500, 0.500, 0.500)
Pd (0.262, 0.262, 0.214)
La (0.000, 0.000, 0.000)
Pd (0.738, 0.738, 0.786)

Entry 5:
# Ba2LaPd9

Ba2LaPd9 after structural relaxation (PBE, Alexandria via LeMat-Bulk).

ΔE_f ... -0.55 eV/atom
Space-group type ... R-3m

Lattice parameters (Å, degrees): 5.527 5.527 9.856 73.72 73.72 60.00
Sites, in units of the cell vectors:
Pd (0.333, 0.333, 0.002)
La (0.000, 0.000, 0.000)
Pd (0.500, 0.500, 0.500)
Pd (0.580, 0.580, 0.758)
Pd (0.667, 0.667, 0.998)
Pd (0.420, 0.420, 0.242)
Pd (0.420, 0.919, 0.242)
Ba (0.860, 0.860, 0.420)
Pd (0.081, 0.580, 0.758)
Ba (0.140, 0.140, 0.580)
Pd (0.580, 0.081, 0.758)
Pd (0.919, 0.420, 0.242)

Entry 6:
# BaLaPd2

BaLaPd2 after structural relaxation (PBE, Alexandria via LeMat-Bulk).

ΔE_f ... -0.56 eV/atom
Excess energy over the best structure of this formula in the dataset ... 0.442 eV per formula unit
Space-group type ... Fm-3m

Lattice parameters (Å, degrees): 5.339 5.339 5.339 60.00 60.00 60.00
Sites, in units of the cell vectors:
Ba (0.000, 0.000, 0.000)
La (0.500, 0.500, 0.500)
Pd (0.250, 0.250, 0.250)
Pd (0.750, 0.750, 0.750)

Entry 7:
# BaLaPd2

BaLaPd2 after structural relaxation (PBE, Alexandria via LeMat-Bulk).

ΔE_f ... -0.67 eV/atom
Excess energy over the best structure of this formula in the dataset ... 0.000 eV per formula unit
Space-group type ... P4/mmm

Lattice parameters (Å, degrees): 3.783 3.783 7.687 90.00 90.00 90.00
Sites, in units of the cell vectors:
Ba (0.500, 0.500, 0.500)
Pd (0.000, 0.000, 0.799)
La (0.500, 0.500, 0.000)
Pd (0.000, 0.000, 0.201)

Entry 8:
# RbBa2LaPd

RbBa2LaPd after structural relaxation (PBE, Alexandria via LeMat-Bulk).

ΔE_f ... -0.12 eV/atom
Space-group type ... P4/mmm

Lattice parameters (Å, degrees): 6.661 6.661 5.711 90.00 90.00 90.00
Sites, in units of the cell vectors:
Ba (0.000, 0.500, 0.000)
Ba (0.500, 0.000, 0.000)
Pd (0.000, 0.000, 0.000)
La (0.000, 0.000, 0.500)
Rb (0.500, 0.500, 0.500)

Entry 9:
# Ba2LaSbPd

Ba2LaSbPd after structural relaxation (PBE, Alexandria via LeMat-Bulk).

Formation energy from raw total energies ... -0.226 eV per atom
Space-group type ... P4/mmm

Lattice parameters (Å, degrees): 6.040 5.277 6.040 90.00 90.00 90.00
Last column: magnetic moment on the atom in μB.
Sites, in units of the cell vectors:
Pd (0.000, 0.000, 0.000)  0.01
Ba (0.000, 0.000, 0.500)  0.08
Sb (0.000, 0.500, 0.000)  -0.02
Ba (0.500, 0.000, 0.000)  0.07
La (0.500, 0.500, 0.500)  0.39

Entry 10:
# BaLa2Sb2Pd2

BaLa2Sb2Pd2 after structural relaxation (PBE, Alexandria via LeMat-Bulk).

Formation energy from raw total energies ... -0.957 eV per atom
Space-group type ... R-3m

Lattice parameters (Å, degrees): 4.905 4.905 10.078 75.92 75.92 60.00
Sites, in units of the cell vectors:
La (0.859, 0.859, 0.423)
La (0.141, 0.141, 0.577)
Pd (0.554, 0.554, 0.339)
Pd (0.446, 0.446, 0.661)
Ba (0.000, 0.000, 0.000)
Sb (0.256, 0.256, 0.232)
Sb (0.744, 0.744, 0.768)

Entry 11:
# BaLa2PdSe

BaLa2PdSe after structural relaxation (PBE, Alexandria via LeMat-Bulk).

Formation energy from raw total energies ... -0.477 eV per atom
Space-group type ... P4/mmm

Lattice parameters (Å, degrees): 5.447 6.743 5.447 90.00 90.00 90.00
Sites, in units of the cell vectors:
Se (0.500, 0.500, 0.500)
La (0.000, 0.000, 0.500)
Ba (0.000, 0.500, 0.000)
La (0.500, 0.000, 0.000)
Pd (0.000, 0.000, 0.000)

Entry 12:
# Ba2LaSn3Pd4

Ba2LaSn3Pd4 after structural relaxation (PBE, Alexandria via LeMat-Bulk).

ΔE_f ... -0.76 eV/atom
Space-group type ... P-4m2

Lattice parameters (Å, degrees): 4.826 4.826 11.309 90.00 90.00 90.00
Sites, in units of the cell vectors:
Sn (0.000, 0.000, 0.500)
Pd (0.000, 0.000, 0.000)
La (0.500, 0.500, 0.500)
Pd (0.500, 0.500, 0.000)
Ba (0.500, 0.000, 0.229)
Sn (0.500, 0.000, 0.886)
Pd (0.000, 0.500, 0.356)
Ba (0.000, 0.500, 0.771)
Pd (0.500, 0.000, 0.644)
Sn (0.000, 0.500, 0.114)